Record 1
TlPbAu2 | GGA-PBE | relaxed

abc: 5.036 5.035 3.814
angles: 90.00 90.00 90.00
Fractional coordinates of all 4 atoms:
Au (0.500, 0.500, 0.000)
Pb (0.500, 0.000, 0.500)
Au (0.000, 0.000, 0.000)
Tl (0.000, 0.500, 0.500)

Space group ... P4/mmm
Energy above the most stable polymorph in this dataset ... 0.080 eV per atom
ΔE_f ... 0.02 eV per atom



Record 2
Tl3Pb6Au2 | GGA-PBE | relaxed

abc: 9.659 9.659 9.659
angles: 109.47 109.47 109.47
Fractional coordinates of all 22 atoms:
Pb (0.000, 0.660, 0.340)
Au (0.500, 0.500, 0.500)
Au (0.500, 0.000, 0.000)
Tl (0.755, 0.000, 0.755)
Pb (0.321, 0.660, 0.660)
Pb (0.000, 0.340, 0.660)
Pb (0.340, 0.000, 0.660)
Pb (0.340, 0.679, 0.340)
Tl (0.000, 0.245, 0.245)
Pb (0.660, 0.000, 0.340)
Pb (0.660, 0.340, 0.000)
Pb (0.660, 0.321, 0.660)
Tl (0.000, 0.755, 0.755)
Pb (0.340, 0.340, 0.679)
Au (0.000, 0.500, 0.000)
Tl (0.245, 0.245, 0.000)
Tl (0.245, 0.000, 0.245)
Pb (0.679, 0.340, 0.340)
Pb (0.340, 0.660, 0.000)
Au (0.000, 0.000, 0.500)
Tl (0.755, 0.755, 0.000)
Pb (0.660, 0.660, 0.321)

Space group ... Im-3m
ΔE_f ... 0.06 eV per atom



Record 3
Tl5PbAu | GGA-PBE | relaxed

abc: 6.421 6.421 11.822
angles: 75.37 75.37 66.74
Fractional coordinates of all 14 atoms:
Au (0.000, 0.000, 0.500)
Tl (0.582, 0.947, 0.644)
Tl (0.778, 0.512, 0.448)
Pb (0.059, 0.941, 0.750)
Tl (0.512, 0.778, 0.948)
Tl (0.488, 0.222, 0.052)
Tl (0.590, 0.410, 0.750)
Tl (0.418, 0.053, 0.356)
Tl (0.053, 0.418, 0.856)
Tl (0.947, 0.582, 0.144)
Tl (0.222, 0.488, 0.552)
Pb (0.941, 0.059, 0.250)
Tl (0.410, 0.590, 0.250)
Au (0.000, 0.000, 0.000)

Space group ... C2/c
Energy above the most stable polymorph in this dataset ... 0.015 eV per atom
ΔE_f ... 0.03 eV per atom



Record 4
TlPbAu4 | GGA-PBE | relaxed

abc: 5.398 5.397 5.240
angles: 58.99 89.99 89.98
Fractional coordinates of all 6 atoms:
Tl (0.501, 0.002, 0.495)
Au (0.501, 0.672, 0.154)
Au (0.001, 0.833, 0.832)
Au (0.501, 0.331, 0.836)
Au (0.001, 0.170, 0.158)
Pb (0.001, 0.502, 0.495)

Space group ... Cmmm
Energy above the most stable polymorph in this dataset ... 0.031 eV per atom
ΔE_f ... 0.03 eV per atom



Record 5
TlPb2Au | GGA-PBE | relaxed

abc: 6.438 6.438 6.195
angles: 58.27 58.27 32.35
Fractional coordinates of all 4 atoms:
Tl (0.544, 0.544, 0.517)
Au (0.266, 0.266, 0.102)
Pb (0.739, 0.739, 0.754)
Pb (0.952, 0.952, 0.127)

Space group ... Cm
Energy above the most stable polymorph in this dataset ... 0.059 eV per atom
ΔE_f ... -0.01 eV per atom



Record 6
TlPb2Au | GGA-PBE | relaxed

abc: 3.561 3.447 9.667
angles: 69.84 90.00 90.00
Fractional coordinates of all 4 atoms:
Tl (0.500, 0.250, 0.250)
Pb (0.000, 0.046, 0.958)
Pb (0.000, 0.454, 0.542)
Au (0.500, 0.750, 0.750)

Space group ... P2/m
Energy above the most stable polymorph in this dataset ... 0.037 eV per atom
ΔE_f ... -0.03 eV per atom



Record 7
TlPb2Au | GGA-PBE | relaxed

abc: 8.627 8.627 6.882
angles: 51.19 51.19 90.00
Fractional coordinates of all 8 atoms:
Pb (0.375, 0.421, 0.750)
Tl (0.000, 0.000, 0.000)
Pb (0.579, 0.125, 0.250)
Au (0.250, 0.750, 0.500)
Tl (0.750, 0.250, 0.500)
Pb (0.875, 0.829, 0.750)
Pb (0.171, 0.625, 0.250)
Au (0.500, 0.500, 0.000)

Space group ... I-42d
Energy above the most stable polymorph in this dataset ... 0.095 eV per atom
ΔE_f ... 0.03 eV per atom



Record 8
TlPb2Au | GGA-PBE | relaxed

abc: 4.475 3.598 7.252
angles: 75.82 90.00 90.00
Fractional coordinates of all 4 atoms:
Pb (0.000, 0.964, 0.949)
Pb (0.500, 0.311, 0.246)
Au (0.500, 0.542, 0.796)
Tl (0.000, 0.683, 0.508)

Space group ... Pm
Energy above the most stable polymorph in this dataset ... 0.085 eV per atom
ΔE_f ... 0.02 eV per atom